[1]
Computed, not measured: a PBEsol-optimized structure of SbPd3Ru at the SCAN level of DFT.

Lattice parameters (Å, degrees): 4.776 4.776 4.776 90.00 90.00 90.00
Sites, in units of the cell vectors:
Sb (0.000, 0.000, 0.000)
Pd (0.000, 0.000, 0.500)
Pd (0.000, 0.500, 0.000)
Pd (0.500, 0.000, 0.000)
Ru (0.500, 0.500, 0.500)

Output
D(E_F)	4.14	states/eV per cell
formation energy without anion corrections	1.053	eV per atom
symmetry	Pm-3m
magnetic moment	3.14	μB/f.u.
DFT total energy	-165.14	eV/cell

[2]
Computed, not measured: a PBEsol-optimized structure of SiHg3Os at the SCAN level of DFT.

Lattice parameters (Å, degrees): 4.881 4.881 4.881 90.00 90.00 90.00
Sites, in units of the cell vectors:
Si (0.000, 0.000, 0.000)
Hg (0.000, 0.000, 0.500)
Hg (0.000, 0.500, 0.000)
Hg (0.500, 0.000, 0.000)
Os (0.500, 0.500, 0.500)

Output
D(E_F)	4.04	states/eV per cell
formation energy without anion corrections	1.493	eV per atom
symmetry	Pm-3m
magnetic moment	3.12	μB/f.u.
DFT total energy	-278.93	eV/cell

[3]
Computed, not measured: a PBEsol-optimized structure of Cd4Ag at the SCAN level of DFT.

Lattice parameters (Å, degrees): 7.834 7.834 7.834 156.77 148.97 39.12
Sites, in units of the cell vectors:
Cd (0.097, 0.097, 0.000)
Cd (0.302, 0.302, 0.000)
Cd (0.698, 0.698, 0.000)
Cd (0.903, 0.903, 0.000)
Ag (0.500, 0.500, 0.000)

Output
D(E_F)	1.30	states/eV per cell
polymorph energy (0 for the lowest one)	0.000	eV per atom
symmetry	Immm
ΔH_f (0 K)	0	kJ per mole of atoms
magnetic moment	0.00	μB/f.u.
DFT total energy	-153.03	eV/cell

[4]
Computed, not measured: a PBEsol-optimized structure of PrMg2Cu9 at the SCAN level of DFT.

Lattice parameters (Å, degrees): 4.978 4.978 15.897 90.00 90.00 120.00
Sites, in units of the cell vectors:
Pr (0.333, 0.667, 0.250)
Pr (0.667, 0.333, 0.750)
Mg (0.333, 0.667, 0.032)
Mg (0.333, 0.667, 0.468)
Mg (0.667, 0.333, 0.532)
Mg (0.667, 0.333, 0.968)
Cu (0.000, 0.000, 0.000)
Cu (0.000, 0.000, 0.250)
Cu (0.000, 0.000, 0.500)
Cu (0.000, 0.000, 0.750)
Cu (0.168, 0.336, 0.622)
Cu (0.168, 0.336, 0.878)
Cu (0.168, 0.832, 0.622)
Cu (0.168, 0.832, 0.878)
Cu (0.333, 0.667, 0.750)
Cu (0.336, 0.168, 0.122)
Cu (0.336, 0.168, 0.378)
Cu (0.664, 0.832, 0.622)
Cu (0.664, 0.832, 0.878)
Cu (0.667, 0.333, 0.250)
Cu (0.832, 0.168, 0.122)
Cu (0.832, 0.168, 0.378)
Cu (0.832, 0.664, 0.122)
Cu (0.832, 0.664, 0.378)

Output
D(E_F)	10.27	states/eV per cell
symmetry	P6_3/mmc
ΔH_f (0 K)	-18	kJ per mole of atoms
magnetic moment	0.00	μB/f.u.
DFT total energy	-384.54	eV/cell

[5]
Computed, not measured: a PBEsol-optimized structure of NdLuSe3 at the SCAN level of DFT.

Lattice parameters (Å, degrees): 6.741 6.741 9.818 90.00 90.00 145.76
Sites, in units of the cell vectors:
Nd (0.248, 0.752, 0.750)
Nd (0.752, 0.248, 0.250)
Lu (0.500, 0.500, 0.000)
Lu (0.500, 0.500, 0.500)
Se (0.144, 0.856, 0.061)
Se (0.144, 0.856, 0.439)
Se (0.415, 0.585, 0.250)
Se (0.585, 0.415, 0.750)
Se (0.856, 0.144, 0.561)
Se (0.856, 0.144, 0.939)

Output
formation energy without anion corrections	-2.130	eV per atom
symmetry	Cmcm
magnetic moment	0.00	μB/f.u.
DFT total energy	-339.62	eV/cell

[6]
Computed, not measured: a PBEsol-optimized structure of TcOs3W at the SCAN level of DFT.

Lattice parameters (Å, degrees): 4.530 4.530 4.530 90.00 90.00 90.00
Sites, in units of the cell vectors:
Tc (0.000, 0.000, 0.000)
Os (0.000, 0.000, 0.500)
Os (0.000, 0.500, 0.000)
Os (0.500, 0.000, 0.000)
W (0.500, 0.500, 0.500)

Output
D(E_F)	6.53	states/eV per cell
symmetry	Pm-3m
ΔH_f (0 K)	256	kJ per mole of atoms
magnetic moment	2.83	μB/f.u.
DFT total energy	-307.13	eV/cell

[7]
Computed, not measured: a PBEsol-optimized structure of Bi2AsOsPt at the SCAN level of DFT.

Lattice parameters (Å, degrees): 5.215 5.215 4.786 90.00 90.00 90.00
Sites, in units of the cell vectors:
Bi (0.000, 0.500, 0.000)
Bi (0.500, 0.000, 0.000)
As (0.000, 0.000, 0.500)
Os (0.500, 0.500, 0.000)
Pt (0.500, 0.500, 0.500)

Output
D(E_F)	3.86	states/eV per cell
symmetry	P4/mmm
ΔH_f (0 K)	102	kJ per mole of atoms
magnetic moment	0.00	μB/f.u.
DFT total energy	-314.13	eV/cell

[8]
Computed, not measured: a PBEsol-optimized structure of Sn3N4 at the SCAN level of DFT.

Lattice parameters (Å, degrees): 6.395 6.395 6.395 60.00 60.00 60.00
Sites, in units of the cell vectors:
Sn (0.000, 0.000, 0.000)
Sn (0.000, 0.000, 0.500)
Sn (0.000, 0.500, 0.000)
Sn (0.375, 0.375, 0.375)
Sn (0.500, 0.000, 0.000)
Sn (0.625, 0.625, 0.625)
N (0.223, 0.759, 0.759)
N (0.241, 0.241, 0.241)
N (0.241, 0.241, 0.777)
N (0.241, 0.777, 0.241)
N (0.759, 0.223, 0.759)
N (0.759, 0.759, 0.223)
N (0.759, 0.759, 0.759)
N (0.777, 0.241, 0.241)

Output
formation energy without anion corrections	0.131	eV per atom
symmetry	Fd-3m
magnetic moment	0.00	μB/f.u.
DFT total energy	-288.02	eV/cell